Crystalline LiCe2Tl at its relaxed geometry. Source: Alexandria, functional GGA-PBE.

Computed properties:
The value obtained for the volume is 26.703 A^3/atom. The value obtained for the total energy is -3.911 eV/atom.

Cell lengths 3.1782, 3.1782, 12.3474 Å; angles 82.61, 82.61, 60.00 degrees
Last column: nearest neighbours and their distance in Å.
Positions (direct):
Tl1 0.5000 0.5000 0.5000  6 Tl 3.18, 6 Ce 3.42
Ce1 0.0880 0.0880 0.7361  6 Ce 3.18, 1 Li 3.22, 3 Tl 3.42
Ce2 0.9120 0.9120 0.2639  6 Ce 3.18, 1 Li 3.22, 3 Tl 3.42
Li1 0.0000 0.0000 0.0000  6 Li 3.18, 2 Ce 3.22

---

Crystalline Li2CeTl3 at its relaxed geometry. Source: Alexandria, functional GGA-PBE.

Computed properties:
The value obtained for the volume is 24.873 A^3/atom. The value obtained for the total energy is -2.993 eV/atom. The offset from the most stable computed form comes out at 50 meV/atom.

Cell lengths 4.9425, 4.9425, 14.1081 Å; angles 90.00, 90.00, 120.00 degrees
Last column: nearest neighbours and their distance in Å.
Positions (direct):
Li1 0.6667 0.3333 0.4142  7 Tl 2.93-3.10
Li2 0.3333 0.6667 0.5858  7 Tl 2.93-3.10
Li3 0.3333 0.6667 0.9142  7 Tl 2.93-3.10
Li4 0.6667 0.3333 0.0858  7 Tl 2.93-3.10
Ce1 0.0000 0.0000 0.2500  8 Tl 3.30-3.53, 6 Li 3.68
Ce2 0.0000 0.0000 0.7500  8 Tl 3.30-3.53, 6 Li 3.68
Tl1 0.0000 0.0000 0.5000  6 Li 3.10, 6 Tl 3.41
Tl2 0.0000 0.0000 0.0000  6 Li 3.10, 6 Tl 3.41
Tl3 0.6667 0.3333 0.6330  4 Li 2.93-3.09
Tl4 0.3333 0.6667 0.1330  4 Li 2.93-3.09
Tl5 0.6667 0.3333 0.8670  4 Li 2.93-3.09
Tl6 0.3333 0.6667 0.3670  4 Li 2.93-3.09

---

Crystalline Li5CeTl4 at its relaxed geometry. Source: Alexandria, functional GGA-PBE.

Computed properties:
The value obtained for the volume is 21.963 A^3/atom. The value obtained for the total energy is -2.620 eV/atom.

Cell lengths 3.5595, 3.5595, 17.3345 Å; angles 90.00, 90.00, 90.00 degrees
Last column: nearest neighbours and their distance in Å.
Positions (direct):
Li1 0.5000 0.5000 0.1298  4 Tl 2.86, 1 Li 3.12
Li2 0.5000 0.5000 0.3099  8 Tl 2.98-3.07, 2 Li 3.12-3.29
Li3 0.5000 0.5000 0.5000  8 Tl 3.04, 2 Li 3.29
Li4 0.5000 0.5000 0.6901  8 Tl 2.98-3.07, 2 Li 3.12-3.29
Li5 0.5000 0.5000 0.8702  4 Tl 2.86, 1 Li 3.12
Ce1 0.0000 0.0000 0.0000  8 Li 3.38, 4 Ce 3.56, 2 Tl 3.61
Tl1 0.0000 0.0000 0.2082  8 Li 2.86-3.07
Tl2 0.0000 0.0000 0.4018  8 Li 2.98-3.04
Tl3 0.0000 0.0000 0.5982  8 Li 2.98-3.04
Tl4 0.0000 0.0000 0.7918  8 Li 2.86-3.07

---

Crystalline Li5CeTl3 at its relaxed geometry. Source: Alexandria, functional GGA-PBE.

Computed properties:
The value obtained for the volume is 21.816 A^3/atom. The value obtained for the total energy is -2.695 eV/atom.

Cell lengths 6.0056, 8.6891, 8.6891 Å; angles 120.00, 90.00, 90.00 degrees
Last column: nearest neighbours and their distance in Å.
Positions (direct):
Li1 0.0000 0.6667 0.3333  8 Li 3.00-3.21, 6 Tl 3.24
Li2 0.5000 0.3333 0.6667  8 Li 3.00-3.21, 6 Tl 3.24
Li3 0.0000 0.3333 0.6667  8 Li 3.00-3.21, 6 Tl 3.24
Li4 0.5000 0.6667 0.3333  8 Li 3.00-3.21, 6 Tl 3.24
Li5 0.7500 0.6524 0.6525  5 Tl 2.73-3.00
Li6 0.7500 0.0000 0.3475  5 Tl 2.73-3.00
Li7 0.7500 0.3475 0.0000  5 Tl 2.73-3.00
Li8 0.2500 0.3476 0.3475  5 Tl 2.73-3.00
Li9 0.2500 0.0000 0.6525  5 Tl 2.73-3.00
Li10 0.2500 0.6525 0.0000  5 Tl 2.73-3.00
Ce1 0.0000 0.0000 0.0000  2 Ce 3.00, 6 Tl 3.30
Ce2 0.5000 0.0000 0.0000  2 Ce 3.00, 6 Tl 3.30
Tl1 0.7500 0.3388 0.3388  5 Li 2.73-3.00
Tl2 0.7500 0.0000 0.6612  5 Li 2.73-3.00
Tl3 0.7500 0.6612 0.0000  5 Li 2.73-3.00
Tl4 0.2500 0.6612 0.6612  5 Li 2.73-3.00
Tl5 0.2500 0.0000 0.3388  5 Li 2.73-3.00
Tl6 0.2500 0.3388 0.0000  5 Li 2.73-3.00

---

no.,mass density (g/cm3)
1,7.6
2,8.5
3,7.5
4,6.7